Compound: AlCuSe2
Source: Alexandria
Functional: GGA-PBEsol
Structure: relaxed

The structure in POSCAR format:
```
AlCuSe2
1.0
5.5567 0.0000 0.0000
0.0000 5.5567 0.0000
-2.7783 -2.7783 5.5123
Cu Se Al
2 4 2
direct
0.2500 0.7500 0.5000 Cu
0.0000 0.0000 0.0000 Cu
0.3723 0.8750 0.2500 Se
0.8777 0.3750 0.2500 Se
0.1250 0.1223 0.7500 Se
0.6250 0.6277 0.7500 Se
0.7500 0.2500 0.5000 Al
0.5000 0.5000 0.0000 Al
```

Output
* E: -4.63 eV/atom
* space group: I-42d, No. 122

---

Compound: InHg5
Source: Alexandria
Functional: GGA-PBEsol
Structure: relaxed

The structure in POSCAR format:
```
InHg5
1.0
5.1210 0.0000 0.0000
0.0000 5.6736 0.0000
0.0000 -2.8368 4.9135
Hg In
5 1
direct
0.0000 0.3355 0.3355 Hg
0.0000 0.6645 0.0000 Hg
0.0000 0.0000 0.6645 Hg
0.5000 0.3333 0.6667 Hg
0.5000 0.6667 0.3333 Hg
0.5000 0.0000 0.0000 In
```

Output
* density of states at the Fermi level: 1.3 states/eV/f.u.
* E: -0.98 eV/atom
* space group: P-62m, No. 189

---

Compound: La3InC
Source: Alexandria
Functional: GGA-PBEsol
Structure: relaxed

The structure in POSCAR format:
```
La3InC
1.0
5.1652 0.0000 0.0000
0.0000 5.1652 0.0000
0.0000 0.0000 5.1652
C La In
1 3 1
direct
0.5000 0.5000 0.5000 C
0.5000 0.0000 0.5000 La
0.5000 0.5000 0.0000 La
0.0000 0.5000 0.5000 La
0.0000 0.0000 0.0000 In
```

Output
* density of states at the Fermi level: 3.7 states/eV/f.u.
* E: -6.05 eV/atom
* space group: Pm-3m, No. 221

---

Compound: SrTiAs2
Source: Alexandria
Functional: GGA-PBEsol
Structure: relaxed

The structure in POSCAR format:
```
SrTiAs2
1.0
-0.6862 -1.0689 4.7208
0.6405 -4.5791 1.5876
3.8265 -1.0894 2.8408
Sr As Ti
1 2 1
direct
0.5000 0.5000 0.5000 Sr
0.2500 0.2500 0.2500 As
0.7500 0.7500 0.7500 As
0.0000 0.0000 0.0000 Ti
```

Output
* density of states at the Fermi level: 4.9 states/eV/f.u.
* E: -5.54 eV/atom
* space group: Fm-3m, No. 225

---

Compound: Pt3Au
Source: Alexandria
Functional: GGA-PBEsol
Structure: relaxed

The structure in POSCAR format:
```
Pt3Au
1.0
2.7757 0.0000 0.0000
-1.3878 4.6433 0.0023
0.0000 -0.8273 4.7925
Au Pt
1 3
direct
0.0000 0.0000 0.0000 Au
0.7523 0.5046 0.2548 Pt
0.5000 0.0000 0.5000 Pt
0.2477 0.4954 0.7452 Pt
```

Output
* density of states at the Fermi level: 6.0 states/eV/f.u.
* E: -6.15 eV/atom
* space group: C2/m, No. 12

---

Compound: SrAu2F12
Source: Alexandria
Functional: GGA-PBEsol
Structure: relaxed

The structure in POSCAR format:
```
SrAu2F12
1.0
-0.8711 -6.5367 7.7659
0.4122 -7.8108 -6.5283
10.1424 -0.2440 0.9323
Sr Au F
4 8 48
direct
0.5000 0.0000 0.0000 Sr
0.0000 0.5000 0.0000 Sr
0.0000 0.0000 0.5000 Sr
0.0000 0.0000 0.0000 Sr
0.2504 0.2504 0.2504 Au
0.7496 0.7496 0.2504 Au
0.7496 0.2504 0.7496 Au
0.2504 0.7496 0.7496 Au
0.7496 0.7496 0.7496 Au
0.2504 0.2504 0.7496 Au
0.2504 0.7496 0.2504 Au
0.7496 0.2504 0.2504 Au
0.1228 0.1228 0.3131 F
0.8772 0.8772 0.3131 F
0.8772 0.1228 0.6869 F
0.3131 0.1228 0.1228 F
0.1228 0.8772 0.6869 F
0.3131 0.8772 0.8772 F
0.6869 0.8772 0.1228 F
0.6869 0.1228 0.8772 F
0.1228 0.3131 0.1228 F
0.1228 0.6869 0.8772 F
0.8772 0.6869 0.1228 F
0.8772 0.3131 0.8772 F
0.3724 0.3724 0.8165 F
0.6276 0.6276 0.8165 F
0.6276 0.3724 0.1835 F
0.8165 0.3724 0.3724 F
0.3724 0.6276 0.1835 F
0.8165 0.6276 0.6276 F
0.1835 0.6276 0.3724 F
0.1835 0.3724 0.6276 F
0.3724 0.8165 0.3724 F
0.3724 0.1835 0.6276 F
0.6276 0.1835 0.3724 F
0.6276 0.8165 0.6276 F
0.1228 0.1228 0.6869 F
0.8772 0.8772 0.6869 F
0.8772 0.1228 0.3131 F
0.6869 0.1228 0.1228 F
0.1228 0.8772 0.3131 F
0.6869 0.8772 0.8772 F
0.3131 0.8772 0.1228 F
0.3131 0.1228 0.8772 F
0.1228 0.6869 0.1228 F
0.1228 0.3131 0.8772 F
0.8772 0.3131 0.1228 F
0.8772 0.6869 0.8772 F
0.3724 0.3724 0.1835 F
0.6276 0.6276 0.1835 F
0.6276 0.3724 0.8165 F
0.1835 0.3724 0.3724 F
0.3724 0.6276 0.8165 F
0.1835 0.6276 0.6276 F
0.8165 0.6276 0.3724 F
0.8165 0.3724 0.6276 F
0.3724 0.1835 0.3724 F
0.3724 0.8165 0.6276 F
0.6276 0.8165 0.3724 F
0.6276 0.1835 0.6276 F
```

Output
* E: -3.64 eV/atom
* space group: Pm-3m, No. 221

---

Compound: Tl2RuPb
Source: Alexandria
Functional: GGA-PBEsol
Structure: relaxed

The structure in POSCAR format:
```
Tl2RuPb
1.0
3.1263 0.0000 0.0000
0.0000 4.5868 0.0000
-1.5632 -2.2934 6.7466
Pb Ru Tl
1 1 2
direct
0.4276 0.4276 0.8552 Pb
0.7523 0.2523 0.5047 Ru
0.0716 0.0716 0.1433 Tl
0.2484 0.7484 0.4969 Tl
```

Output
* density of states at the Fermi level: 2.6 states/eV/f.u.
* E: -4.55 eV/atom
* space group: Imm2, No. 44

---

Compound: TbGa3B4O12
Source: Alexandria
Functional: GGA-PBEsol
Structure: relaxed

The structure in POSCAR format:
```
TbGa3B4O12
1.0
-3.0258 0.1109 -5.1864
4.9965 -3.0795 -1.2724
-3.1785 -3.7189 3.4833
Tb Ga B O
1 3 4 12
direct
0.5000 0.5000 0.5000 Tb
0.9496 0.5000 0.0504 Ga
0.5000 0.0504 0.9496 Ga
0.0504 0.9496 0.5000 Ga
0.5530 0.0000 0.4470 B
0.0000 0.4470 0.5530 B
0.4470 0.5530 0.0000 B
0.0000 0.0000 0.0000 B
0.5284 0.1324 0.2903 O
0.1324 0.2903 0.5284 O
0.8676 0.4716 0.7097 O
0.2903 0.5284 0.1324 O
0.7097 0.8676 0.4716 O
0.4716 0.7097 0.8676 O
0.1458 0.0000 0.8542 O
0.0000 0.8542 0.1458 O
0.8542 0.1458 0.0000 O
0.4075 0.0000 0.5925 O
0.0000 0.5925 0.4075 O
0.5925 0.4075 0.0000 O
```

Output
* density of states at the Fermi level: 0.0 states/eV/f.u.
* E: -7.71 eV/atom
* space group: R32, No. 155

---

Compound: Li2SbW
Source: Alexandria
Functional: GGA-PBEsol
Structure: relaxed

The structure in POSCAR format:
```
Li2SbW
1.0
-0.4572 -3.0118 0.3169
2.0451 0.1089 3.9860
-5.0733 2.3308 0.0320
Li Sb W
2 1 1
direct
0.2467 0.2470 0.4934 Li
0.7533 0.7530 0.5066 Li
0.5000 0.0000 0.0000 Sb
0.0000 0.5000 0.0000 W
```

Output
* density of states at the Fermi level: 1.4 states/eV/f.u.
* E: -5.29 eV/atom
* space group: C2/m, No. 12

---

Compound: Si3N4
Source: Alexandria
Functional: GGA-PBEsol
Structure: relaxed

The structure in POSCAR format:
```
Si3N4
1.0
-0.2687 2.7117 1.0239
-2.4736 -2.7612 6.6639
7.4539 1.1598 -1.1157
Si N
6 8
direct
0.7500 0.1739 0.7675 Si
0.2500 0.7675 0.5936 Si
0.2500 0.4064 0.1739 Si
0.7500 0.5936 0.8261 Si
0.7500 0.2325 0.4064 Si
0.2500 0.8261 0.2325 Si
0.7500 0.3333 0.6667 N
0.2500 0.6667 0.3333 N
0.7500 0.3300 0.0296 N
0.2500 0.0296 0.6996 N
0.2500 0.3004 0.3300 N
0.7500 0.6996 0.6700 N
0.2500 0.6700 0.9704 N
0.7500 0.9704 0.3004 N
```

Output
* density of states at the Fermi level: 0.0 states/eV/f.u.
* E: -8.60 eV/atom
* space group: P6_3/m, No. 176

---

Compound: Tc3GeMo
Source: Alexandria
Functional: GGA-PBEsol
Structure: relaxed

The structure in POSCAR format:
```
Tc3GeMo
1.0
4.3919 0.0000 0.0000
0.0000 4.3919 0.0000
0.0000 0.0000 4.3919
Mo Ge Tc
1 1 3
direct
0.5000 0.5000 0.5000 Mo
0.0000 0.0000 0.0000 Ge
0.0000 0.5000 0.0000 Tc
0.0000 0.0000 0.5000 Tc
0.5000 0.0000 0.0000 Tc
```

Output
* density of states at the Fermi level: 3.0 states/eV/f.u.
* E: -8.69 eV/atom
* space group: Pm-3m, No. 221

---

Compound: CoAuSe
Source: Alexandria
Functional: GGA-PBEsol
Structure: relaxed

The structure in POSCAR format:
```
CoAuSe
1.0
-2.9368 -3.0989 -0.3449
0.5911 -3.2120 -2.7715
0.8647 -3.9400 1.4407
Au Co Se
1 1 1
direct
0.2500 0.2500 0.2500 Au
0.0000 0.0000 0.0000 Co
0.5000 0.5000 0.5000 Se
```

Output
* density of states at the Fermi level: 5.4 states/eV/f.u.
* E: -4.54 eV/atom
* space group: F-43m, No. 216

---

Compound: ReTeMo4
Source: Alexandria
Functional: GGA-PBEsol
Structure: relaxed

The structure in POSCAR format:
```
ReTeMo4
1.0
5.1785 0.0000 0.0000
2.5893 4.4848 0.0000
2.5893 1.4949 4.2283
Mo Re Te
4 1 1
direct
0.3742 0.3742 0.3742 Mo
0.3742 0.3742 0.8774 Mo
0.8774 0.3742 0.3742 Mo
0.3742 0.8774 0.3742 Mo
0.7500 0.7500 0.7500 Re
0.0000 0.0000 0.0000 Te
```

Output
* density of states at the Fermi level: 5.4 states/eV/f.u.
* E: -10.02 eV/atom
* space group: F-43m, No. 216

---

Compound: Cu2Pt
Source: Alexandria
Functional: GGA-PBEsol
Structure: relaxed

The structure in POSCAR format:
```
Cu2Pt
1.0
4.5115 -0.0023 0.0109
1.5116 5.0663 -0.0026
1.5477 0.8840 6.6669
Cu Pt
8 4
direct
0.9954 0.9903 0.0035 Cu
0.5058 0.8240 0.1718 Cu
0.0020 0.6672 0.3259 Cu
0.5020 0.5028 0.4943 Cu
0.9923 0.5081 0.0024 Cu
0.5006 0.3426 0.1683 Cu
0.5065 0.9982 0.4952 Cu
0.4970 0.6648 0.8423 Cu
0.9953 0.3397 0.6632 Pt
0.4886 0.1633 0.8491 Pt
0.0042 0.1689 0.3178 Pt
0.0102 0.8299 0.6663 Pt
```

Output
* density of states at the Fermi level: 1.3 states/eV/f.u.
* E: -5.30 eV/atom
* space group: P1, No. 1

---

Compound: SiIrOs2
Source: Alexandria
Functional: GGA-PBEsol
Structure: relaxed

The structure in POSCAR format:
```
SiIrOs2
1.0
-1.3583 1.8465 -1.5253
-3.4254 -1.4474 1.2982
0.6721 2.4513 4.5066
Ir Os Si
1 2 1
direct
0.5000 0.5000 0.5000 Ir
0.1304 0.0000 0.7641 Os
0.8696 0.0000 0.2359 Os
0.5000 0.5000 0.0000 Si
```

Output
* density of states at the Fermi level: 3.4 states/eV/f.u.
* E: -10.04 eV/atom
* space group: P2/m, No. 10

---

Compound: NaBrCl3
Source: Alexandria
Functional: GGA-PBEsol
Structure: relaxed

The structure in POSCAR format:
```
NaBrCl3
1.0
-2.5721 -3.9609 1.9835
2.7539 0.3668 4.3035
-3.4697 3.2273 1.9453
Na Br Cl
1 1 3
direct
0.0000 0.0000 0.0000 Na
0.5000 0.5000 0.5000 Br
0.0000 0.5000 0.0000 Cl
0.0000 0.0000 0.5000 Cl
0.5000 0.0000 0.0000 Cl
```

Output
* density of states at the Fermi level: 5.4 states/eV/f.u.
* E: -1.92 eV/atom
* space group: Pm-3m, No. 221

---

Compound: Ga2RuF
Source: Alexandria
Functional: GGA-PBEsol
Structure: relaxed

The structure in POSCAR format:
```
Ga2RuF
1.0
4.2553 0.0000 0.0000
2.1276 3.6852 0.0000
2.1276 1.2284 3.4744
Ru Ga F
1 2 1
direct
0.5000 0.5000 0.5000 Ru
0.2500 0.2500 0.2500 Ga
0.7500 0.7500 0.7500 Ga
0.0000 0.0000 0.0000 F
```

Output
* density of states at the Fermi level: 5.2 states/eV/f.u.
* E: -4.94 eV/atom
* space group: Fm-3m, No. 225

---

Compound: Ca2SiW
Source: Alexandria
Functional: GGA-PBEsol
Structure: relaxed

The structure in POSCAR format:
```
Ca2SiW
1.0
4.0901 0.0000 0.0000
0.0000 4.0901 0.0000
0.0000 0.0000 4.6568
Ca Si W
2 1 1
direct
0.0000 0.5000 0.0000 Ca
0.5000 0.0000 0.0000 Ca
0.5000 0.5000 0.5000 Si
0.0000 0.0000 0.5000 W
```

Output
* density of states at the Fermi level: 4.3 states/eV/f.u.
* E: -5.36 eV/atom
* space group: P4/mmm, No. 123

---

Compound: AlSbPI2
Source: Alexandria
Functional: GGA-PBEsol
Structure: relaxed

The structure in POSCAR format:
```
AlSbPI2
1.0
-4.8435 1.1897 1.6757
-1.9814 -3.8418 -2.9996
0.5765 -3.5863 4.2125
I Sb Al P
2 1 1 1
direct
0.0000 0.5000 0.0000 I
0.5000 0.0000 0.0000 I
0.0000 0.0000 0.5000 Sb
0.0000 0.0000 0.0000 Al
0.5000 0.5000 0.5000 P
```

Output
* density of states at the Fermi level: 2.7 states/eV/f.u.
* E: -2.90 eV/atom
* space group: P4/mmm, No. 123

---

Compound: LaAlTlF2
Source: Alexandria
Functional: GGA-PBEsol
Structure: relaxed

The structure in POSCAR format:
```
LaAlTlF2
1.0
-0.2788 -3.7695 2.3557
4.2663 0.4356 1.2021
-1.9363 3.6184 5.5610
Tl F Al La
1 2 1 1
direct
0.0000 0.0000 0.5000 Tl
0.0000 0.5000 0.0000 F
0.5000 0.0000 0.0000 F
0.5000 0.5000 0.5000 Al
0.0000 0.0000 0.0000 La
```

Output
* density of states at the Fermi level: 1.9 states/eV/f.u.
* E: -5.01 eV/atom
* space group: P4/mmm, No. 123

---

Compound: BaSr2Ca
Source: Alexandria
Functional: GGA-PBEsol
Structure: relaxed

The structure in POSCAR format:
```
BaSr2Ca
1.0
-3.4658 1.6686 1.1203
-2.9226 -5.9296 -0.2095
2.8015 -1.6235 6.8681
Sr Ca Ba
2 1 1
direct
0.7568 0.0000 0.7448 Sr
0.2432 0.0000 0.2552 Sr
0.0000 0.5000 0.5000 Ca
0.5000 0.5000 0.0000 Ba
```

Output
* density of states at the Fermi level: 4.7 states/eV/f.u.
* E: -1.97 eV/atom
* space group: P2/m, No. 10

---

Compound: Ce3NdC8
Source: Alexandria
Functional: GGA-PBEsol
Structure: relaxed

The structure in POSCAR format:
```
Ce3NdC8
1.0
-0.7745 -0.4168 3.6139
-3.1473 -1.7763 -0.8794
6.1852 -10.9879 0.0583
Ce Nd C
3 1 8
direct
0.5000 0.5000 0.7478 Ce
0.0000 0.0000 0.5000 Ce
0.5000 0.5000 0.2522 Ce
0.0000 0.0000 0.0000 Nd
0.0000 0.0000 0.7991 C
0.5000 0.5000 0.5522 C
0.0000 0.0000 0.3049 C
0.5000 0.5000 0.0516 C
0.5000 0.5000 0.9484 C
0.0000 0.0000 0.6951 C
0.5000 0.5000 0.4478 C
0.0000 0.0000 0.2009 C
```

Output
* density of states at the Fermi level: 11.4 states/eV/f.u.
* E: -8.62 eV/atom
* space group: P4/mmm, No. 123